[1]
Density functional theory data (PBE) for a geometry-optimized Rb2Li2HoI6 structure.

Properties
uncorrected formation energy	-1.1885	eV/atom
volume	44.56	Å³/atom
crystal system	monoclinic

Cell and atoms, written as POSCAR:
```
Rb2Li2HoI6
1.0
7.120 -4.328 0.000
7.120 4.328 0.000
-3.614 0.000 7.953
Rb Li Ho I
2 2 1 6
Direct
0.203 0.203 0.168 Rb
0.797 0.797 0.832 Rb
0.438 0.438 0.726 Li
0.562 0.562 0.274 Li
0.000 0.000 0.500 Ho
0.191 0.701 0.216 I
0.235 0.235 0.604 I
0.299 0.809 0.784 I
0.701 0.191 0.216 I
0.765 0.765 0.396 I
0.809 0.299 0.784 I
```



[2]
Density functional theory data (PBE) for a geometry-optimized Sb structure.

Properties
uncorrected formation energy	0.2679	eV/atom
volume	35.63	Å³/atom
crystal system	tetragonal

Cell and atoms, written as POSCAR:
```
Sb
1.0
-2.733 2.733 2.385
2.733 -2.733 2.385
2.733 2.733 -2.385
Sb
2
Direct
0.375 0.625 0.750 Sb
0.625 0.375 0.250 Sb
```



[3]
Density functional theory data (PBE) for a geometry-optimized Er4Cu2HgIr structure.

Properties
volume	21.35	Å³/atom
crystal system	trigonal
calculated formation energy	-0.515	eV/atom

Cell and atoms, written as POSCAR:
```
Er4Cu2HgIr
1.0
2.471 1.427 8.076
-2.471 1.427 8.076
0.000 -2.853 8.076
Er Cu Hg Ir
4 2 1 1
Direct
0.118 0.118 0.118 Er
0.369 0.369 0.369 Er
0.631 0.631 0.631 Er
0.882 0.882 0.882 Er
0.245 0.245 0.245 Cu
0.755 0.755 0.755 Cu
0.500 0.500 0.500 Hg
0.000 0.000 0.000 Ir
```



[4]
Density functional theory data (PBE) for a geometry-optimized PrYSnHg structure.

Properties
volume	27.75	Å³/atom
crystal system	cubic
calculated formation energy	-0.595	eV/atom

Cell and atoms, written as POSCAR:
```
PrYSnHg
1.0
0.000 3.814 3.814
3.814 0.000 3.814
3.814 3.814 0.000
Pr Y Sn Hg
1 1 1 1
Direct
0.000 0.000 0.000 Pr
0.500 0.500 0.500 Y
0.750 0.750 0.750 Sn
0.250 0.250 0.250 Hg
```



[5]
Density functional theory data (PBE) for a geometry-optimized AgBiHPd2 structure.

Properties
volume	15.93	Å³/atom
crystal system	tetragonal
calculated total energy	-20.2	eV/f.u.

Cell and atoms, written as POSCAR:
```
AgBiHPd2
1.0
4.121 0.000 0.000
0.000 4.121 0.000
0.000 0.000 4.689
Ag Bi H Pd
1 1 1 2
Direct
0.000 0.000 0.000 Ag
0.500 0.500 0.000 Bi
0.500 0.500 0.500 H
0.000 0.500 0.500 Pd
0.500 0.000 0.500 Pd
```



[6]
Density functional theory data (PBE) for a geometry-optimized YZnFe2 structure.

Properties
volume	16.54	Å³/atom
crystal system	cubic
calculated formation energy	0.169	eV/atom

Cell and atoms, written as POSCAR:
```
YZnFe2
1.0
0.000 3.210 3.210
3.210 0.000 3.210
3.210 3.210 0.000
Y Zn Fe
1 1 2
Direct
0.000 0.000 0.000 Y
0.750 0.750 0.750 Zn
0.250 0.250 0.250 Fe
0.500 0.500 0.500 Fe
```



[7]
Density functional theory data (PBE) for a geometry-optimized CeSnSe structure.

Properties
uncorrected formation energy	-0.6149	eV/atom
volume	28.20	Å³/atom
crystal system	hexagonal

Cell and atoms, written as POSCAR:
```
CeSnSe
1.0
7.857 0.000 0.000
-3.928 6.804 0.000
0.000 0.000 4.748
Ce Sn Se
3 3 3
Direct
0.000 0.000 0.000 Ce
0.333 0.667 0.500 Ce
0.667 0.333 0.500 Ce
0.000 0.231 0.500 Sn
0.231 0.000 0.500 Sn
0.769 0.769 0.500 Sn
0.000 0.601 0.000 Se
0.399 0.399 0.000 Se
0.601 0.000 0.000 Se
```



[8]
Density functional theory data (PBE) for a geometry-optimized K2UBi2Se6 structure.

Properties
uncorrected formation energy	-0.9105	eV/atom
volume	33.63	Å³/atom
crystal system	monoclinic

Cell and atoms, written as POSCAR:
```
K2UBi2Se6
1.0
3.695 -6.351 0.000
3.695 6.351 0.000
-2.551 0.000 7.882
K U Bi Se
2 1 2 6
Direct
0.171 0.829 0.000 K
0.829 0.171 0.000 K
0.000 0.000 0.500 U
0.331 0.669 0.500 Bi
0.669 0.331 0.500 Bi
0.071 0.394 0.705 Se
0.247 0.247 0.297 Se
0.394 0.071 0.705 Se
0.606 0.929 0.295 Se
0.753 0.753 0.703 Se
0.929 0.606 0.295 Se
```



[9]
Density functional theory data (PBE) for a geometry-optimized TlNiCl structure.

Properties
uncorrected formation energy	0.0269	eV/atom
volume	23.18	Å³/atom
crystal system	orthorhombic

Cell and atoms, written as POSCAR:
```
TlNiCl
1.0
0.000 2.810 6.071
2.038 0.000 6.071
2.038 2.810 0.000
Tl Ni Cl
1 1 1
Direct
0.000 0.000 0.000 Tl
0.679 0.679 0.321 Ni
0.246 0.246 0.754 Cl
```



[10]
Density functional theory data (PBE) for a geometry-optimized BaIn2Ni structure.

Properties
volume	26.08	Å³/atom
crystal system	cubic
calculated formation energy	0.124	eV/atom

Cell and atoms, written as POSCAR:
```
BaIn2Ni
1.0
0.000 3.736 3.736
3.736 0.000 3.736
3.736 3.736 0.000
Ba In Ni
1 2 1
Direct
0.000 0.000 0.000 Ba
0.250 0.250 0.250 In
0.750 0.750 0.750 In
0.500 0.500 0.500 Ni
```



[11]
Density functional theory data (PBE) for a geometry-optimized BaB2Ir2 structure.

Properties
volume	18.10	Å³/atom
crystal system	tetragonal
calculated formation energy	-0.491	eV/atom

Cell and atoms, written as POSCAR:
```
BaB2Ir2
1.0
-1.980 1.980 5.771
1.980 -1.980 5.771
1.980 1.980 -5.771
Ba B Ir
1 2 2
Direct
0.000 0.000 0.000 Ba
0.318 0.318 0.000 B
0.682 0.682 0.000 B
0.250 0.750 0.500 Ir
0.750 0.250 0.500 Ir
```



[12]
Density functional theory data (PBE) for a geometry-optimized Ba2GaRhPb structure.

Properties
volume	35.38	Å³/atom
crystal system	tetragonal
calculated formation energy	-0.313	eV/atom

Cell and atoms, written as POSCAR:
```
Ba2GaRhPb
1.0
6.072 0.000 0.000
0.000 6.072 0.000
0.000 0.000 4.798
Ba Ga Rh Pb
2 1 1 1
Direct
0.000 0.500 0.000 Ba
0.500 0.000 0.000 Ba
0.000 0.000 0.500 Ga
0.000 0.000 0.000 Rh
0.500 0.500 0.500 Pb
```



[13]
Density functional theory data (PBE) for a geometry-optimized NpNiPb2 structure.

Properties
volume	24.73	Å³/atom
crystal system	trigonal
calculated formation energy	0.492	eV/atom

Cell and atoms, written as POSCAR:
```
NpNiPb2
1.0
1.646 0.950 10.540
-1.646 0.950 10.540
0.000 -1.901 10.540
Np Ni Pb
1 1 2
Direct
0.000 0.000 0.000 Np
0.500 0.500 0.500 Ni
0.104 0.104 0.104 Pb
0.896 0.896 0.896 Pb
```



[14]
Density functional theory data (PBE) for a geometry-optimized Al2GaFe2 structure.

Properties
volume	12.98	Å³/atom
crystal system	tetragonal
calculated formation energy	-0.035	eV/atom

Cell and atoms, written as POSCAR:
```
Al2GaFe2
1.0
6.890 0.000 0.000
0.000 6.890 0.000
0.000 0.000 2.734
Al Ga Fe
4 2 4
Direct
0.132 0.368 0.000 Al
0.368 0.868 0.000 Al
0.632 0.132 0.000 Al
0.868 0.632 0.000 Al
0.000 0.000 0.000 Ga
0.500 0.500 0.000 Ga
0.165 0.665 0.500 Fe
0.335 0.165 0.500 Fe
0.665 0.835 0.500 Fe
0.835 0.335 0.500 Fe
```



[15]
Density functional theory data (PBE) for a geometry-optimized Y4AlTe structure.

Properties
uncorrected formation energy	-0.5667	eV/atom
volume	29.14	Å³/atom
crystal system	orthorhombic

Cell and atoms, written as POSCAR:
```
Y4AlTe
1.0
7.475 0.000 0.000
0.000 4.584 0.000
0.000 0.000 20.412
Y Al Te
16 4 4
Direct
0.034 0.250 0.072 Y
0.079 0.250 0.787 Y
0.086 0.250 0.359 Y
0.142 0.250 0.531 Y
0.358 0.750 0.031 Y
0.414 0.750 0.859 Y
0.421 0.750 0.287 Y
0.466 0.750 0.572 Y
0.534 0.250 0.428 Y
0.579 0.250 0.713 Y
0.586 0.250 0.141 Y
0.642 0.250 0.969 Y
0.858 0.750 0.469 Y
0.914 0.750 0.641 Y
0.921 0.750 0.213 Y
0.966 0.750 0.928 Y
0.227 0.250 0.931 Al
0.273 0.750 0.431 Al
0.727 0.250 0.569 Al
0.773 0.750 0.069 Al
0.216 0.250 0.211 Te
0.284 0.750 0.711 Te
0.716 0.250 0.289 Te
0.784 0.750 0.789 Te
```



[16]
Density functional theory data (PBE) for a geometry-optimized La4Ho5Mg structure.

Properties
volume	35.32	Å³/atom
crystal system	monoclinic
calculated formation energy	0.267	eV/atom

Cell and atoms, written as POSCAR:
```
La4Ho5Mg
1.0
9.021 -2.528 0.000
9.021 2.528 0.000
-3.880 0.000 7.743
La Ho Mg
4 5 1
Direct
0.021 0.021 0.277 La
0.322 0.322 0.568 La
0.678 0.678 0.432 La
0.979 0.979 0.723 La
0.169 0.169 0.720 Ho
0.172 0.172 0.126 Ho
0.500 0.500 0.000 Ho
0.828 0.828 0.874 Ho
0.831 0.831 0.280 Ho
0.500 0.500 0.500 Mg
```



[17]
Density functional theory data (PBE) for a geometry-optimized Pa2MnH structure.

Properties
volume	15.66	Å³/atom
crystal system	tetragonal
calculated total energy	-31.4	eV/f.u.

Cell and atoms, written as POSCAR:
```
Pa2MnH
1.0
3.105 0.000 0.000
0.000 3.105 0.000
0.000 0.000 6.500
Pa Mn H
2 1 1
Direct
0.000 0.000 0.225 Pa
0.000 0.000 0.775 Pa
0.500 0.500 0.500 Mn
0.500 0.500 0.000 H
```